No. 1
MnZnCo: relaxed, PBE.

a b c (Å): 5.4272 5.4272 5.4272
angles (deg): 90.00 90.00 90.00
Last column: nearest neighbours and their distance in Å.
Atoms (fractional coordinates):
Mn (0.0000, 0.0000, 0.0000)  4 Co 2.35
Mn (0.0000, 0.5000, 0.5000)  4 Co 2.35
Mn (0.5000, 0.0000, 0.5000)  4 Co 2.35
Mn (0.5000, 0.5000, 0.0000)  4 Co 2.35
Zn (0.0000, 0.0000, 0.5000)  4 Co 2.35
Zn (0.0000, 0.5000, 0.0000)  4 Co 2.35
Zn (0.5000, 0.0000, 0.0000)  4 Co 2.35
Zn (0.5000, 0.5000, 0.5000)  4 Co 2.35
Co (0.2500, 0.2500, 0.7500)  4 Mn 2.35, 4 Zn 2.35
Co (0.2500, 0.7500, 0.2500)  4 Mn 2.35, 4 Zn 2.35
Co (0.7500, 0.2500, 0.2500)  4 Mn 2.35, 4 Zn 2.35
Co (0.7500, 0.7500, 0.7500)  4 Mn 2.35, 4 Zn 2.35

Calculated values
- magnetic moment (μB/cell) = 1.16
- ΔH_f (0 K) (eV/atom) = 0.459
- electronic total energy (eV per atom) = -5.390
- E above lowest polymorph (eV per atom) = 0.4649
- D(E_F) (states/eV/cell) = 9.61

No. 2
MnZn6Co5: relaxed, PBE.

a b c (Å): 7.0965 7.0965 7.0965
angles (deg): 146.51 131.45 60.26
Last column: nearest neighbours and their distance in Å.
Atoms (fractional coordinates):
Mn (0.0000, 0.0000, 0.0000)  8 Zn 2.56-2.59, 4 Co 2.81
Zn (0.0853, 0.8280, 0.2573)  7 Co 2.49-2.54, 1 Mn 2.59
Zn (0.2654, 0.5000, 0.7654)  6 Co 2.46-2.48, 2 Mn 2.56, 1 Zn 2.74
Zn (0.4293, 0.1720, 0.2573)  7 Co 2.49-2.54, 1 Mn 2.59
Zn (0.5707, 0.8280, 0.7427)  7 Co 2.49-2.54, 1 Mn 2.59
Zn (0.7346, 0.5000, 0.2346)  6 Co 2.46-2.48, 2 Mn 2.56, 1 Zn 2.74
Zn (0.9147, 0.1720, 0.7427)  7 Co 2.49-2.54, 1 Mn 2.59
Co (0.1574, 0.6574, 0.5000)  8 Zn 2.48-2.54
Co (0.3335, 0.3335, 0.0000)  8 Zn 2.46-2.49
Co (0.5000, 0.0000, 0.5000)  8 Zn 2.46-2.54
Co (0.6665, 0.6665, 0.0000)  8 Zn 2.46-2.49
Co (0.8426, 0.3426, 0.5000)  8 Zn 2.48-2.54

Calculated values
- magnetic moment (μB/cell) = 5.70
- ΔH_f (0 K) (eV/atom) = 0.021
- electronic total energy (eV per atom) = -4.341
- D(E_F) (states/eV/cell) = 12.99

No. 3
Mn3Zn3Co2: relaxed, PBE.

a b c (Å): 6.6185 6.6185 2.7541
angles (deg): 90.00 90.00 120.00
Last column: nearest neighbours and their distance in Å.
Atoms (fractional coordinates):
Mn (0.0000, 0.5910, 0.0000)  4 Co 2.43, 2 Zn 2.72
Mn (0.4090, 0.4090, 0.0000)  4 Co 2.43, 2 Zn 2.72
Mn (0.5910, 0.0000, 0.0000)  4 Co 2.43, 2 Zn 2.72
Zn (0.0000, 0.2371, 0.5000)  2 Co 2.58, 6 Mn 2.72-2.73, 4 Zn 2.72-2.75
Zn (0.2371, 0.0000, 0.5000)  2 Co 2.58, 6 Mn 2.72-2.73, 4 Zn 2.72-2.75
Zn (0.7629, 0.7629, 0.5000)  2 Co 2.58, 6 Mn 2.72-2.73, 4 Zn 2.72-2.75
Co (0.3333, 0.6667, 0.5000)  6 Mn 2.43, 3 Zn 2.58
Co (0.6667, 0.3333, 0.5000)  6 Mn 2.43, 3 Zn 2.58

Calculated values
- magnetic moment (μB/cell) = 10.28
- ΔH_f (0 K) (eV/atom) = 0.073
- electronic total energy (eV per atom) = -5.620
- D(E_F) (states/eV/cell) = 8.49

Q: Which formula does entry 2 have?
A: MnZn6Co5

Q: What is the D(E_F) in the second record?
A: 12.99 states/eV/cell

Q: What is the formula in the first record?
A: MnZnCo

Q: What is the D(E_F) in the third record?
A: 8.49 states/eV/cell